# 1
The following is a GGA-PBE calculation of an optimized crystal structure of CsLiYH2, from Alexandria via LeMat-Bulk.

Output
N(E_F) ... 2.35 states/eV/cell
Relative energy among the computed polymorphs ... 0 kJ/mol of formula units
Density ... 2.87 g cm⁻³
Total moment ... 0.00 μB/atom
Symmetry ... P4/mmm
Calculated total energy ... -14.93 eV/f.u.

Cell lengths 4.584, 4.584, 6.362 Å; angles 90.00, 90.00, 90.00 degrees
Atoms (fractional coordinates):
Cs  0.000  0.000  0.000
Li  0.500  0.500  0.000
Y  0.500  0.500  0.500
H  0.000  0.500  0.500
H  0.500  0.000  0.500


# 2
The following is a GGA-PBE calculation of an optimized crystal structure of CsLiZn2H6, from Alexandria via LeMat-Bulk.

Output
N(E_F) ... 0.00 states/eV/cell
Density ... 2.77 g cm⁻³
Total moment ... 0.00 μB/atom
Symmetry ... C2/c
Calculated total energy ... -27.10 eV/f.u.

Cell lengths 8.278, 8.278, 5.149 Å; angles 96.75, 96.75, 106.29 degrees
Atoms (fractional coordinates):
Cs  0.204  0.796  0.750
Cs  0.796  0.204  0.250
Li  0.485  0.515  0.250
Li  0.515  0.485  0.750
Zn  0.183  0.323  0.879
Zn  0.323  0.183  0.379
Zn  0.677  0.817  0.621
Zn  0.817  0.677  0.121
H  0.001  0.345  0.788
H  0.180  0.239  0.167
H  0.239  0.180  0.667
H  0.343  0.504  0.943
H  0.345  0.001  0.288
H  0.496  0.657  0.557
H  0.504  0.343  0.443
H  0.655  0.999  0.712
H  0.657  0.496  0.057
H  0.761  0.820  0.333
H  0.820  0.761  0.833
H  0.999  0.655  0.212


# 3
The following is a GGA-PBE calculation of an optimized crystal structure of Cs2LiZn2H6, from Alexandria via LeMat-Bulk.

Output
N(E_F) ... 2.46 states/eV/cell
Density ... 3.70 g cm⁻³
Total moment ... 0.00 μB/atom
Symmetry ... C2/m
Calculated total energy ... -27.63 eV/f.u.

Cell lengths 6.006, 6.006, 6.833 Å; angles 115.88, 115.88, 59.79 degrees
Atoms (fractional coordinates):
Cs  0.220  0.220  0.162
Cs  0.780  0.780  0.838
Li  0.000  0.000  0.500
Zn  0.425  0.425  0.770
Zn  0.575  0.575  0.230
H  0.246  0.246  0.702
H  0.246  0.718  0.705
H  0.282  0.754  0.295
H  0.718  0.246  0.705
H  0.754  0.282  0.295
H  0.754  0.754  0.298


# 4
The following is a GGA-PBE calculation of an optimized crystal structure of Cs2Li3ZrH12, from Alexandria via LeMat-Bulk.

Output
N(E_F) ... 4.40 states/eV/cell
Density ... 2.95 g cm⁻³
Total moment ... 0.00 μB/atom
Symmetry ... R-3m
Calculated total energy ... -56.19 eV/f.u.

Cell lengths 6.322, 6.322, 6.322 Å; angles 71.22, 71.22, 71.22 degrees
Atoms (fractional coordinates):
Cs  0.121  0.121  0.121
Cs  0.879  0.879  0.879
Li  0.000  0.500  0.500
Li  0.500  0.000  0.500
Li  0.500  0.500  0.000
Zr  0.500  0.500  0.500
H  0.165  0.611  0.611
H  0.272  0.272  0.594
H  0.272  0.594  0.272
H  0.389  0.389  0.835
H  0.389  0.835  0.389
H  0.406  0.728  0.728
H  0.594  0.272  0.272
H  0.611  0.165  0.611
H  0.611  0.611  0.165
H  0.728  0.406  0.728
H  0.728  0.728  0.406
H  0.835  0.389  0.389


# 5
The following is a GGA-PBE calculation of an optimized crystal structure of CsMg4H8, from Alexandria via LeMat-Bulk.

Output
N(E_F) ... 2.80 states/eV/cell
Density ... 2.09 g cm⁻³
Total moment ... 0.00 μB/atom
Symmetry ... F-43m
Calculated total energy ... -34.09 eV/f.u.

Cell lengths 6.442, 6.442, 6.442 Å; angles 60.00, 60.00, 60.00 degrees
Atoms (fractional coordinates):
Cs  0.000  0.000  0.000
Mg  0.376  0.376  0.376
Mg  0.376  0.376  0.873
Mg  0.376  0.873  0.376
Mg  0.873  0.376  0.376
H  0.161  0.161  0.161
H  0.161  0.161  0.516
H  0.161  0.516  0.161
H  0.199  0.600  0.600
H  0.516  0.161  0.161
H  0.600  0.199  0.600
H  0.600  0.600  0.199
H  0.600  0.600  0.600


# 6
The following is a GGA-PBE calculation of an optimized crystal structure of Cs3Mg2H7, from Alexandria via LeMat-Bulk.

Output
N(E_F) ... 0.00 states/eV/cell
Relative energy among the computed polymorphs ... 9 kJ/mol of formula units
Density ... 3.45 g cm⁻³
Total moment ... 0.00 μB/atom
Symmetry ... Cmmm
Calculated total energy ... -31.83 eV/f.u.

Cell lengths 12.254, 12.254, 4.221 Å; angles 90.00, 90.00, 159.84 degrees
Atoms (fractional coordinates):
Cs  0.000  0.000  0.000
Cs  0.177  0.823  0.000
Cs  0.823  0.177  0.000
Mg  0.412  0.588  0.500
Mg  0.588  0.412  0.500
H  0.089  0.911  0.500
H  0.332  0.668  0.500
H  0.412  0.588  0.000
H  0.500  0.500  0.500
H  0.588  0.412  0.000
H  0.668  0.332  0.500
H  0.911  0.089  0.500


# 7
The following is a GGA-PBE calculation of an optimized crystal structure of Cs2MgH, from Alexandria via LeMat-Bulk.

Output
N(E_F) ... 3.56 states/eV/cell
Relative energy among the computed polymorphs ... 70 kJ/mol of formula units
Density ... 2.50 g cm⁻³
Total moment ... 0.00 μB/atom
Symmetry ... Fm-3m
Calculated total energy ... -5.20 eV/f.u.

Cell lengths 6.489, 6.489, 6.489 Å; angles 60.00, 60.00, 60.00 degrees
Atoms (fractional coordinates):
Cs  0.250  0.250  0.250
Cs  0.750  0.750  0.750
Mg  0.000  0.000  0.000
H  0.500  0.500  0.500


# 8
The following is a GGA-PBE calculation of an optimized crystal structure of CsMgH3, from Alexandria via LeMat-Bulk.

Output
N(E_F) ... 0.00 states/eV/cell
Density ... 3.21 g cm⁻³
Total moment ... 0.00 μB/atom
Symmetry ... R-3m
Calculated total energy ... -13.77 eV/f.u.

Cell lengths 8.243, 8.243, 8.243 Å; angles 44.31, 44.31, 44.31 degrees
Atoms (fractional coordinates):
Cs  0.000  0.000  0.000
Cs  0.214  0.214  0.214
Cs  0.786  0.786  0.786
Mg  0.379  0.379  0.379
Mg  0.500  0.500  0.500
Mg  0.621  0.621  0.621
H  0.000  0.500  0.500
H  0.284  0.697  0.697
H  0.303  0.303  0.716
H  0.303  0.716  0.303
H  0.500  0.000  0.500
H  0.500  0.500  0.000
H  0.697  0.284  0.697
H  0.697  0.697  0.284
H  0.716  0.303  0.303


# 9
The following is a GGA-PBE calculation of an optimized crystal structure of Cs3MgH6, from Alexandria via LeMat-Bulk.

Output
N(E_F) ... 2.79 states/eV/cell
Density ... 3.12 g cm⁻³
Total moment ... 0.02 μB/atom
Symmetry ... Cmc2_1
Calculated total energy ... -24.42 eV/f.u.

Cell lengths 10.845, 10.845, 4.041 Å; angles 90.00, 90.00, 105.94 degrees
Atoms (fractional coordinates):
Cs  0.110  0.890  0.500
Cs  0.187  0.440  0.501
Cs  0.440  0.187  0.001
Cs  0.560  0.813  0.501
Cs  0.813  0.560  0.001
Cs  0.890  0.110  0.000
Mg  0.278  0.722  0.001
Mg  0.722  0.278  0.501
H  0.100  0.652  0.001
H  0.168  0.168  0.254
H  0.168  0.168  0.754
H  0.278  0.722  0.501
H  0.348  0.900  0.001
H  0.387  0.613  0.001
H  0.613  0.387  0.501
H  0.652  0.100  0.501
H  0.722  0.278  0.001
H  0.832  0.832  0.254
H  0.832  0.832  0.754
H  0.900  0.348  0.501


# 10
The following is a GGA-PBE calculation of an optimized crystal structure of Cs2MgH, from Alexandria via LeMat-Bulk.

Output
N(E_F) ... 6.20 states/eV/cell
Relative energy among the computed polymorphs ... 0 kJ/mol of formula units
Density ... 2.30 g cm⁻³
Total moment ... 0.13 μB/atom
Symmetry ... I-42d
Calculated total energy ... -5.93 eV/f.u.

Cell lengths 8.185, 8.185, 8.185 Å; angles 111.75, 111.75, 105.00 degrees
Atoms (fractional coordinates):
Cs  0.016  0.125  0.391
Cs  0.375  0.984  0.109
Cs  0.734  0.625  0.609
Cs  0.875  0.266  0.891
Mg  0.250  0.750  0.500
Mg  0.500  0.500  0.000
H  0.000  0.000  0.000
H  0.750  0.250  0.500


# 11
The following is a GGA-PBE calculation of an optimized crystal structure of CsMgH4, from Alexandria via LeMat-Bulk.

Output
N(E_F) ... 0.00 states/eV/cell
Density ... 2.44 g cm⁻³
Total moment ... 0.00 μB/atom
Symmetry ... C2/m
Calculated total energy ... -15.76 eV/f.u.

Cell lengths 6.577, 6.577, 5.754 Å; angles 92.58, 92.58, 62.06 degrees
Atoms (fractional coordinates):
Cs  0.178  0.178  0.252
Cs  0.822  0.822  0.748
Mg  0.447  0.447  0.768
Mg  0.553  0.553  0.232
H  0.285  0.285  0.770
H  0.307  0.693  0.000
H  0.341  0.519  0.432
H  0.481  0.659  0.568
H  0.519  0.341  0.432
H  0.659  0.481  0.568
H  0.693  0.307  0.000
H  0.715  0.715  0.230


# 12
The following is a GGA-PBE calculation of an optimized crystal structure of CsMgH3, from Alexandria via LeMat-Bulk.

Output
N(E_F) ... 0.00 states/eV/cell
Density ... 3.09 g cm⁻³
Total moment ... 0.00 μB/atom
Symmetry ... Pmmn
Calculated total energy ... -13.79 eV/f.u.

Cell lengths 6.110, 9.947, 8.512 Å; angles 90.00, 90.00, 90.00 degrees
Atoms (fractional coordinates):
Cs  0.250  0.028  0.163
Cs  0.250  0.250  0.679
Cs  0.250  0.472  0.163
Cs  0.750  0.528  0.837
Cs  0.750  0.750  0.321
Cs  0.750  0.972  0.837
Mg  0.250  0.610  0.572
Mg  0.250  0.750  0.866
Mg  0.250  0.890  0.572
Mg  0.750  0.110  0.428
Mg  0.750  0.250  0.134
Mg  0.750  0.390  0.428
H  0.000  0.000  0.500
H  0.000  0.500  0.500
H  0.014  0.750  0.005
H  0.047  0.750  0.667
H  0.250  0.551  0.793
H  0.250  0.750  0.404
H  0.250  0.949  0.793
H  0.453  0.750  0.667
H  0.486  0.750  0.005
H  0.500  0.000  0.500
H  0.500  0.500  0.500
H  0.514  0.250  0.995
H  0.547  0.250  0.333
H  0.750  0.051  0.207
H  0.750  0.250  0.596
H  0.750  0.449  0.207
H  0.953  0.250  0.333
H  0.986  0.250  0.995